[1]
Entry from the Alexandria database: a PBEsol-optimized structure of Ta2InCl (meta-GGA SCAN).

Cell: 4.649 2.904 11.192 Å, 90.00 90.00 90.00°
Space group Amm2 (No. 38)
Symmetry-distinct sites (fractional):
Ta: 0.000 0.000 0.000 [2 per cell]
Ta: 0.500 0.000 0.384 [2 per cell]
In: 0.500 0.000 0.642 [2 per cell]
Cl: 0.000 0.000 0.320 [2 per cell]

Values from the calculation:
electronic total energy	-43.477	eV/atom
ΔE_f (raw)	0.155	eV/atom
DOS at the Fermi energy	0.51	states/eV/atom

***

[2]
Entry from the Alexandria database: a PBEsol-optimized structure of MgZn2Hg (meta-GGA SCAN).

Cell: 3.196 3.507 6.301 Å, 90.00 90.00 90.00°
Space group Pmm2 (No. 25)
Symmetry-distinct sites (fractional):
Mg: 0.000 0.000 0.000 [1 per cell]
Zn: 0.000 0.000 0.457 [1 per cell]
Zn: 0.500 0.500 0.263 [1 per cell]
Hg: 0.500 0.500 0.726 [1 per cell]

Values from the calculation:
electronic total energy	-25.097	eV/atom
DOS at the Fermi energy	0.27	states/eV/atom
DFT formation energy	-0.054	eV/atom

***

[3]
Entry from the Alexandria database: a PBEsol-optimized structure of LaCrW (meta-GGA SCAN).

Cell: 3.130 3.130 11.730 Å, 90.00 90.00 90.00°
Space group I4mm (No. 107)
Symmetry-distinct sites (fractional):
La: 0.000 0.000 0.000 [2 per cell]
Cr: 0.000 0.000 0.301 [2 per cell]
W: 0.000 0.000 0.708 [2 per cell]

Values from the calculation:
electronic total energy	-43.170	eV/atom
DOS at the Fermi energy	1.18	states/eV/atom
DFT formation energy	0.556	eV/atom

***

[4]
Entry from the Alexandria database: a PBEsol-optimized structure of Er2IrPd (meta-GGA SCAN).

Cell: 6.751 6.751 6.751 Å, 90.00 90.00 90.00°
Space group Fm-3m (No. 225)
Symmetry-distinct sites (fractional):
Er: 0.250 0.250 0.250 [8 per cell]
Ir: 0.000 0.000 0.000 [4 per cell]
Pd: 0.000 0.000 0.500 [4 per cell]

Values from the calculation:
electronic total energy	-52.257	eV/atom
DOS at the Fermi energy	0.38	states/eV/atom
DFT formation energy	-1.119	eV/atom

***

[5]
Entry from the Alexandria database: a PBEsol-optimized structure of PRu2W (meta-GGA SCAN).

Cell: 2.811 2.811 6.701 Å, 90.00 90.00 90.00°
Space group P4/mmm (No. 123)
Symmetry-distinct sites (fractional):
P: 0.000 0.000 0.000 [1 per cell]
Ru: 0.500 0.500 0.212 [2 per cell]
W: 0.000 0.000 0.500 [1 per cell]

Values from the calculation:
electronic total energy	-37.686	eV/atom
DOS at the Fermi energy	0.46	states/eV/atom
DFT formation energy	-0.251	eV/atom

***

[6]
Entry from the Alexandria database: a PBEsol-optimized structure of TeRh2 (meta-GGA SCAN).

Cell: 6.833 3.615 7.954 Å, 90.00 90.00 90.00°
Space group Pnma (No. 62)
Symmetry-distinct sites (fractional):
Te: 0.246 0.250 0.121 [4 per cell]
Rh: 0.048 0.250 0.846 [4 per cell]
Rh: 0.121 0.250 0.413 [4 per cell]

Values from the calculation:
electronic total energy	-35.186	eV/atom
ΔE_f (raw)	-0.255	eV/atom
DOS at the Fermi energy	0.25	states/eV/atom

***

[7]
Entry from the Alexandria database: a PBEsol-optimized structure of AlMoP2O9 (meta-GGA SCAN).

Cell: 8.814 8.814 8.753 Å, 90.00 90.00 90.00°
Space group P4/ncc (No. 130, origin choice 2)
Symmetry-distinct sites (fractional):
Al: 0.250 0.750 0.000 [4 per cell]
Mo: 0.250 0.250 0.174 [4 per cell]
P: 0.065 0.565 0.250 [8 per cell]
O: 0.085 0.108 0.728 [16 per cell]
O: 0.118 0.650 0.108 [16 per cell]
O: 0.250 0.250 0.484 [4 per cell]

Values from the calculation:
electronic total energy	-11.782	eV/atom
ΔE_f (raw)	-2.589	eV/atom
DOS at the Fermi energy	0.00	states/eV/atom

***

[8]
Entry from the Alexandria database: a PBEsol-optimized structure of FeRu2Pt (meta-GGA SCAN).

Cell: 2.675 3.716 5.343 Å, 90.00 90.00 90.00°
Space group Pmm2 (No. 25)
Symmetry-distinct sites (fractional):
Fe: 0.000 0.000 0.000 [1 per cell]
Ru: 0.000 0.000 0.527 [1 per cell]
Ru: 0.500 0.500 0.752 [1 per cell]
Pt: 0.500 0.500 0.248 [1 per cell]

Values from the calculation:
electronic total energy	-39.574	eV/atom
DOS at the Fermi energy	0.73	states/eV/atom
DFT formation energy	-0.080	eV/atom

***

[9]
Entry from the Alexandria database: a PBEsol-optimized structure of Li2MoSe (meta-GGA SCAN).

Cell: 3.275 4.795 8.828 Å, 90.00 90.00 90.00°
Space group Cmm2 (No. 35)
Symmetry-distinct sites (fractional):
Li: 0.000 0.000 0.000 [2 per cell]
Li: 0.000 0.500 0.297 [2 per cell]
Mo: 0.000 0.500 0.740 [2 per cell]
Se: 0.000 0.000 0.526 [2 per cell]

Values from the calculation:
electronic total energy	-14.751	eV/atom
ΔE_f (raw)	0.185	eV/atom
DOS at the Fermi energy	0.53	states/eV/atom

***

[10]
Entry from the Alexandria database: a PBEsol-optimized structure of Sm3HfSb5 (meta-GGA SCAN).

Cell: 9.2948 9.2948 6.1893 Å, 90.00 90.00 120.00°
Space group P6_3/mcm (No. 193)
Symmetry-distinct sites (fractional):
Sm: 0.0000 0.3817 0.2500 [6 per cell]
Hf: 0.0000 0.0000 0.0000 [2 per cell]
Sb: 0.0000 0.2659 0.7500 [6 per cell]
Sb: 0.3333 0.6667 0.0000 [4 per cell]

Values from the calculation:
electronic total energy	-43.478	eV/atom
ΔE_f (raw)	-1.000	eV/atom
DOS at the Fermi energy	0.33	states/eV/atom

***

[11]
Entry from the Alexandria database: a PBEsol-optimized structure of OsRu3 (meta-GGA SCAN).

Cell: 4.651 4.651 4.651 Å, 90.00 90.00 90.00°
Space group Pm-3m (No. 221)
Symmetry-distinct sites (fractional):
Os: 0.000 0.000 0.000 [1 per cell]
Ru: 0.000 0.000 0.500 [3 per cell]

Values from the calculation:
electronic total energy	-41.616	eV/atom
DOS at the Fermi energy	1.01	states/eV/atom
DFT formation energy	2.473	eV/atom

***

[12]
Entry from the Alexandria database: a PBEsol-optimized structure of BeAlP2O (meta-GGA SCAN).

Cell: 4.749 4.749 2.926 Å, 90.00 90.00 90.00°
Space group P4/mmm (No. 123)
Symmetry-distinct sites (fractional):
Be: 0.000 0.000 0.000 [1 per cell]
Al: 0.500 0.500 0.500 [1 per cell]
P: 0.000 0.500 0.000 [2 per cell]
O: 0.000 0.000 0.500 [1 per cell]

Values from the calculation:
electronic total energy	-7.997	eV/atom
ΔE_f (raw)	-0.171	eV/atom
DOS at the Fermi energy	0.38	states/eV/atom